A plane-wave DFT calculation with PBEsol was carried out for a geometry-optimized RbRuS2 structure.

a = 6.341 Å, b = 6.341 Å, c = 6.341 Å
α = 111.77°, β = 111.77°, γ = 104.96°
Fractional coordinates of all 8 atoms:
Rb: 0.000 0.000 0.000
Rb: 0.750 0.250 0.500
Ru: 0.250 0.750 0.500
Ru: 0.500 0.500 0.000
S: 0.249 0.125 0.624
S: 0.375 0.751 0.876
S: 0.501 0.625 0.376
S: 0.875 0.499 0.124

Properties
**SG**: No. 122
**Energy relative to the elements, uncorrected**: -57 kJ per mole of atoms